No. 1
Na4Hg4Pb | PBE | optimized geometry

abc: 9.0925 5.5470 11.7267
angles: 90.00 125.58 90.00
Space group P2/c (No. 13)
Asymmetric unit:
Na 0.1290 0.2493 0.0358
Na 0.2470 0.2523 0.8094
Hg 0.3287 0.2514 0.5796
Hg 0.4578 0.2479 0.3667
Pb 0.0000 0.2480 0.2500

Properties
Its total magnetization is 0.00 μB per formula unit. Its energy is -23.6 eV per cell. Its relative energy among the computed polymorphs is 0.000 eV per atom. The calculation puts the energy of formation from the pure elements at -1.63 eV per formula unit.

***

No. 2
Na6HgPb5 | PBE | optimized geometry

abc: 4.9252 14.4629 9.5557
angles: 90.00 90.00 90.00
Space group Cmmm (No. 65)
Asymmetric unit:
Na 0.0000 0.0000 0.2379
Na 0.0000 0.3359 0.2491
Hg 0.0000 0.5000 0.0000
Pb 0.0000 0.1659 0.5000
Pb 0.0000 0.1768 0.0000
Pb 0.0000 0.5000 0.5000

Properties
Its total magnetization is 0.00 μB per formula unit. Its energy is -57.2 eV per cell. The calculation puts the energy of formation from the pure elements at -1.86 eV per formula unit.

***

Repeat the first record exactly.
Na4Hg4Pb | PBE | optimized geometry

abc: 9.0925 5.5470 11.7267
angles: 90.00 125.58 90.00
Space group P2/c (No. 13)
Asymmetric unit:
Na 0.1290 0.2493 0.0358
Na 0.2470 0.2523 0.8094
Hg 0.3287 0.2514 0.5796
Hg 0.4578 0.2479 0.3667
Pb 0.0000 0.2480 0.2500

Properties
Its total magnetization is 0.00 μB per formula unit. Its energy is -23.6 eV per cell. Its relative energy among the computed polymorphs is 0.000 eV per atom. The calculation puts the energy of formation from the pure elements at -1.63 eV per formula unit.